## P
KRb2HgF: relaxed, GGA-PBE.

Results
The value obtained for the theoretical density is 3.121 g cm⁻³. The crystal system is tetragonal.

```
KRb2HgF
1.0
5.489 0.000 0.000
0.000 5.489 0.000
0.000 0.000 7.587
Hg Rb K F
1 2 1 1
Direct
0.000 0.000 0.500 Hg
0.000 0.500 0.000 Rb
0.500 0.000 0.000 Rb
0.500 0.500 0.500 K
0.000 0.000 0.000 F
```

***

## Q
KRb2HgF: relaxed, GGA-PBE.

Results
The value obtained for the theoretical density is 3.854 g cm⁻³. The crystal system is tetragonal.

```
KRb2HgF
1.0
5.800 0.000 0.000
0.000 5.800 0.000
0.000 0.000 5.502
F Hg Rb K
1 1 2 1
Direct
0.000 0.000 0.000 F
0.500 0.500 0.500 Hg
0.500 0.000 0.000 Rb
0.000 0.500 0.000 Rb
0.000 0.000 0.500 K
```

***

Which of them is the least stable? Correct choice: P.

***

## P
LaHgF3: relaxed, GGA-PBE.

Results
The value obtained for the theoretical density is 6.323 g cm⁻³. The crystal system is cubic.

```
LaHgF3
1.0
4.705 0.000 0.000
0.000 4.705 0.000
0.000 0.000 4.705
F La Hg
3 1 1
Direct
0.000 0.500 0.000 F
0.000 0.000 0.500 F
0.500 0.000 0.000 F
0.500 0.500 0.500 La
0.000 0.000 0.000 Hg
```

***

## Q
LaHgF3: relaxed, GGA-PBE.

Results
The value obtained for the theoretical density is 6.147 g cm⁻³. The crystal system is cubic.

```
LaHgF3
1.0
-2.646 1.656 3.579
-0.276 -4.377 1.822
3.934 0.807 2.535
F La Hg
3 1 1
Direct
0.000 0.000 0.500 F
0.000 0.500 0.000 F
0.500 0.000 0.000 F
0.000 0.000 0.000 La
0.500 0.500 0.500 Hg
```

***

Which of them is the least stable? Correct choice: P.

***

## P
LiHgF4: relaxed, GGA-PBE.

Results
The value obtained for the theoretical density is 5.606 g cm⁻³. The crystal system is monoclinic.

```
LiHgF4
1.0
5.043 0.000 0.000
0.000 6.273 0.267
0.000 -2.248 5.214
Hg F Li
2 8 2
Direct
0.000 0.500 0.500 Hg
0.500 0.000 0.500 Hg
0.316 0.826 0.149 F
0.178 0.897 0.670 F
0.322 0.397 0.670 F
0.822 0.103 0.330 F
0.684 0.174 0.851 F
0.184 0.326 0.149 F
0.678 0.603 0.330 F
0.816 0.674 0.851 F
0.500 0.500 0.000 Li
0.000 0.000 0.000 Li
```

***

## Q
LiHgF4: relaxed, GGA-PBE.

Results
The value obtained for the theoretical density is 5.226 g cm⁻³. The crystal system is monoclinic.

```
LiHgF4
1.0
-0.069 2.995 -2.120
-4.744 1.631 2.459
4.671 4.372 6.023
Hg F Li
2 8 2
Direct
0.000 0.000 0.000 Hg
0.500 0.500 0.500 Hg
0.586 0.171 0.392 F
0.086 0.329 0.108 F
0.414 0.829 0.608 F
0.421 0.809 0.113 F
0.914 0.671 0.892 F
0.921 0.691 0.387 F
0.579 0.191 0.887 F
0.079 0.309 0.613 F
0.000 0.000 0.500 Li
0.500 0.500 0.000 Li
```

***

Which of them is the least stable? Correct choice: Q.

***

## P
LiHgF3: relaxed, GGA-PBE.

Results
The value obtained for the theoretical density is 7.962 g cm⁻³. The crystal system is cubic.

```
LiHgF3
1.0
3.807 0.000 0.000
0.000 3.807 0.000
0.000 0.000 3.807
F Hg Li
3 1 1
Direct
0.000 0.000 0.500 F
0.000 0.500 0.000 F
0.500 0.000 0.000 F
0.500 0.500 0.500 Hg
0.000 0.000 0.000 Li
```

***

## Q
LiHgF3: relaxed, GGA-PBE.

Results
The value obtained for the theoretical density is 6.580 g cm⁻³. The crystal system is trigonal.

```
LiHgF3
1.0
-2.751 0.790 -4.817
1.510 -2.841 -4.587
-3.540 -4.278 -1.938
Hg F Li
2 6 2
Direct
0.367 0.367 0.898 Hg
0.633 0.633 0.102 Hg
0.210 0.559 0.266 F
0.965 0.210 0.266 F
0.559 0.965 0.266 F
0.035 0.790 0.734 F
0.441 0.035 0.734 F
0.790 0.441 0.734 F
0.849 0.849 0.453 Li
0.151 0.151 0.547 Li
```

***

Which of them is the least stable? Correct choice: P.

***

## P
LiHgF2: relaxed, GGA-PBE.

Results
The value obtained for the theoretical density is 8.080 g cm⁻³. The crystal system is trigonal.

```
LiHgF2
1.0
3.057 0.000 0.000
1.528 2.647 0.000
1.528 0.882 6.236
Li F Hg
1 2 1
Direct
0.667 0.667 0.998 Li
0.060 0.060 0.821 F
0.273 0.273 0.180 F
0.500 0.500 0.501 Hg
```

***

## Q
LiHgF2: relaxed, GGA-PBE.

Results
The value obtained for the theoretical density is 7.209 g cm⁻³. The crystal system is cubic.

```
LiHgF2
1.0
2.575 -1.087 3.279
-1.347 0.515 4.060
-0.926 -3.445 2.416
F Li Hg
2 1 1
Direct
0.250 0.250 0.250 F
0.750 0.750 0.750 F
0.000 0.000 0.000 Li
0.500 0.500 0.500 Hg
```

***

## R
LiHgF2: relaxed, GGA-PBE.

Results
The value obtained for the theoretical density is 5.755 g cm⁻³. The crystal system is trigonal.

```
LiHgF2
1.0
1.975 0.000 6.992
-0.987 1.710 6.992
-0.987 -1.710 6.992
Hg Li F
1 1 2
Direct
0.500 0.500 0.500 Hg
0.000 0.000 0.000 Li
0.082 0.082 0.082 F
0.918 0.918 0.918 F
```

***

Which of them is the least stable? Correct choice: Q.

***

## P
LiHgF2: relaxed, GGA-PBE.

Results
The value obtained for the theoretical density is 7.354 g cm⁻³. The crystal system is trigonal.

```
LiHgF2
1.0
1.781 0.000 6.731
-0.890 1.542 6.731
-0.890 -1.542 6.731
F Hg Li
2 1 1
Direct
0.886 0.886 0.886 F
0.114 0.114 0.114 F
0.000 0.000 0.000 Hg
0.500 0.500 0.500 Li
```

***

## Q
LiHgF2: relaxed, GGA-PBE.

Results
The value obtained for the theoretical density is 6.694 g cm⁻³. The crystal system is tetragonal.

```
LiHgF2
1.0
5.311 0.000 0.000
0.000 5.311 0.000
2.656 2.656 4.318
Hg F Li
2 4 2
Direct
0.000 0.000 0.000 Hg
0.750 0.250 0.500 Hg
0.375 0.472 0.750 F
0.875 0.778 0.750 F
0.222 0.625 0.250 F
0.528 0.125 0.250 F
0.250 0.750 0.500 Li
0.500 0.500 0.000 Li
```

***

Which of them is the least stable? Correct choice: P.

***

## P
LiHg2F5: relaxed, GGA-PBE.

Results
The value obtained for the theoretical density is 5.620 g cm⁻³. The crystal system is monoclinic.

```
LiHg2F5
1.0
-1.442 5.997 1.731
-4.371 -1.361 4.481
2.368 2.113 8.177
F Hg Li
10 4 2
Direct
0.683 0.204 0.111 F
0.317 0.796 0.889 F
0.206 0.184 0.112 F
0.184 0.206 0.612 F
0.204 0.683 0.611 F
0.375 0.625 0.250 F
0.796 0.317 0.389 F
0.794 0.816 0.888 F
0.625 0.375 0.750 F
0.816 0.794 0.388 F
0.500 0.500 0.000 Hg
0.500 0.500 0.500 Hg
0.500 0.000 0.000 Hg
0.000 0.500 0.500 Hg
0.124 0.876 0.750 Li
0.876 0.124 0.250 Li
```

***

## Q
LiHg2F5: relaxed, GGA-PBE.

Results
The value obtained for the theoretical density is 6.139 g cm⁻³. The crystal system is orthorhombic.

```
LiHg2F5
1.0
4.465 0.000 0.000
-2.232 5.718 0.000
0.000 0.000 10.661
Hg F Li
4 10 2
Direct
0.140 0.281 0.926 Hg
0.140 0.281 0.574 Hg
0.860 0.719 0.074 Hg
0.860 0.719 0.426 Hg
0.255 0.510 0.750 F
0.704 0.407 0.907 F
0.943 0.887 0.620 F
0.296 0.593 0.407 F
0.057 0.113 0.120 F
0.745 0.490 0.250 F
0.704 0.407 0.593 F
0.057 0.113 0.380 F
0.943 0.887 0.880 F
0.296 0.593 0.093 F
0.182 0.363 0.250 Li
0.818 0.637 0.750 Li
```

***

Which of them is the least stable? Correct choice: P.

***

## P
LiHg2F: relaxed, GGA-PBE.

Results
The value obtained for the theoretical density is 8.931 g cm⁻³. The crystal system is cubic.

```
LiHg2F
1.0
2.561 1.297 3.878
-2.261 1.383 4.032
0.074 -2.838 3.901
F Hg Li
1 2 1
Direct
0.500 0.500 0.500 F
0.250 0.250 0.250 Hg
0.750 0.750 0.750 Hg
0.000 0.000 0.000 Li
```

***

## Q
LiHg2F: relaxed, GGA-PBE.

Results
The value obtained for the theoretical density is 8.685 g cm⁻³. The crystal system is tetragonal.

```
LiHg2F
1.0
7.737 0.000 0.000
0.000 7.737 0.000
3.869 3.869 2.728
Hg Li F
4 2 2
Direct
0.102 0.625 0.250 Hg
0.875 0.898 0.750 Hg
0.375 0.352 0.750 Hg
0.648 0.125 0.250 Hg
0.250 0.750 0.500 Li
0.500 0.500 0.000 Li
0.000 0.000 0.000 F
0.750 0.250 0.500 F
```

***

Which of them is the least stable? Correct choice: P.

***

## P
LiHg3F: relaxed, GGA-PBE.

Results
The value obtained for the theoretical density is 7.026 g cm⁻³. The crystal system is cubic.

```
LiHg3F
1.0
-0.867 2.086 4.787
2.040 -4.332 2.257
4.807 2.215 -0.094
F Li Hg
1 1 3
Direct
0.000 0.000 0.000 F
0.500 0.500 0.500 Li
0.000 0.000 0.500 Hg
0.000 0.500 0.000 Hg
0.500 0.000 0.000 Hg
```

***

## Q
LiHg3F: relaxed, GGA-PBE.

Results
The value obtained for the theoretical density is 7.691 g cm⁻³. The crystal system is cubic.

```
LiHg3F
1.0
-2.198 -3.725 2.770
2.211 -3.535 -3.000
4.082 -0.092 3.117
Hg Li F
3 1 1
Direct
0.000 0.500 0.000 Hg
0.000 0.000 0.500 Hg
0.500 0.000 0.000 Hg
0.000 0.000 0.000 Li
0.500 0.500 0.500 F
```

***

Which of them is the least stable? Correct choice: P.

***

## P
LiHgOF2: relaxed, GGA-PBE.

Results
The value obtained for the theoretical density is 5.055 g cm⁻³. The crystal system is tetragonal.

```
LiHgOF2
1.0
4.577 0.000 0.000
0.000 4.577 0.000
0.000 0.000 4.101
F O Li Hg
2 1 1 1
Direct
0.500 0.000 0.000 F
0.000 0.500 0.000 F
0.000 0.000 0.500 O
0.500 0.500 0.500 Li
0.000 0.000 0.000 Hg
```

***

## Q
LiHgOF2: relaxed, GGA-PBE.

Results
The value obtained for the theoretical density is 7.733 g cm⁻³. The crystal system is tetragonal.

```
LiHgOF2
1.0
-3.160 1.264 -1.404
-1.852 -1.533 2.789
0.420 3.488 2.196
O F Hg Li
1 2 1 1
Direct
0.000 0.000 0.500 O
0.000 0.500 0.000 F
0.500 0.000 0.000 F
0.500 0.500 0.500 Hg
0.000 0.000 0.000 Li
```

***

Which of them is the least stable? Correct choice: P.

***

## P
Mg2HgF: relaxed, GGA-PBE.

Results
The value obtained for the theoretical density is 5.908 g cm⁻³. The crystal system is tetragonal.

```
Mg2HgF
1.0
-3.588 5.222 1.642
-3.294 -3.628 4.340
-1.091 1.632 5.473
F Mg Hg
2 4 2
Direct
0.500 0.500 0.000 F
0.250 0.750 0.500 F
0.875 0.790 0.750 Mg
0.375 0.460 0.750 Mg
0.540 0.125 0.250 Mg
0.210 0.625 0.250 Mg
0.750 0.250 0.500 Hg
0.000 0.000 0.000 Hg
```

***

## Q
Mg2HgF: relaxed, GGA-PBE.

Results
The value obtained for the theoretical density is 5.824 g cm⁻³. The crystal system is cubic.

```
Mg2HgF
1.0
0.000 3.369 3.369
3.369 0.000 3.369
3.369 3.369 0.000
F Mg Hg
1 2 1
Direct
0.000 0.000 0.000 F
0.750 0.750 0.750 Mg
0.250 0.250 0.250 Mg
0.500 0.500 0.500 Hg
```

***

Which of them is the least stable? Correct choice: Q.

***

## P
MgHg3F: relaxed, GGA-PBE.

Results
The value obtained for the theoretical density is 6.521 g cm⁻³. The crystal system is cubic.

```
MgHg3F
1.0
5.477 0.000 0.000
0.000 5.477 0.000
0.000 0.000 5.477
Hg Mg F
3 1 1
Direct
0.000 0.500 0.000 Hg
0.500 0.000 0.000 Hg
0.000 0.000 0.500 Hg
0.000 0.000 0.000 Mg
0.500 0.500 0.500 F
```

***

## Q
MgHg3F: relaxed, GGA-PBE.

Results
The value obtained for the theoretical density is 8.076 g cm⁻³. The crystal system is cubic.

```
MgHg3F
1.0
-0.371 1.294 -4.919
1.574 -4.661 -1.345
-4.837 -1.616 -0.060
Hg Mg F
3 1 1
Direct
0.000 0.500 0.000 Hg
0.500 0.000 0.000 Hg
0.000 0.000 0.500 Hg
0.500 0.500 0.500 Mg
0.000 0.000 0.000 F
```

***

Which of them is the least stable? Correct choice: Q.